Material: LaPrDyIn
Method: DFT, PBE
State: relaxed

Summary:
- E above lowest polymorph (eV per formula unit) = 0.203
- ΔH_f (0 K) (meV per atom) = -111

Cell lengths 5.5730, 5.5730, 5.5747 Å; angles 119.99, 119.99, 90.00 degrees
Closest atoms and distances in Å follow each position.
Positions (direct):
In (0.2500, 0.7500, 0.5000)  4 Pr 3.41, 4 Dy 3.41
Pr (0.5000, 0.5000, 0.0000)  4 La 3.41, 4 In 3.41
La (0.7500, 0.2500, 0.5000)  4 Pr 3.41, 4 Dy 3.41
Dy (0.0000, 0.0000, 0.0000)  4 In 3.41, 4 La 3.41

---

Material: LaPr2DyIn4
Method: DFT, PBE
State: relaxed

Summary:
- ΔH_f (0 K) (meV per atom) = -483

Cell lengths 5.4820, 5.4820, 9.5327 Å; angles 73.29, 73.29, 60.00 degrees
Closest atoms and distances in Å follow each position.
Positions (direct):
In (0.1269, 0.1269, 0.6194)  4 Pr 3.30-3.37, 3 Dy 3.34, 1 La 3.42
In (0.8731, 0.8731, 0.3806)  4 Pr 3.30-3.37, 3 Dy 3.34, 1 La 3.42
In (0.3771, 0.3771, 0.8686)  1 Dy 3.31, 4 Pr 3.35-3.45, 3 La 3.38
In (0.6229, 0.6229, 0.1314)  1 Dy 3.31, 4 Pr 3.35-3.45, 3 La 3.38
Dy (0.5000, 0.5000, 0.5000)  8 In 3.31-3.34
Pr (0.2493, 0.2493, 0.2521)  8 In 3.30-3.45
Pr (0.7507, 0.7507, 0.7479)  8 In 3.30-3.45
La (0.0000, 0.0000, 0.0000)  8 In 3.38-3.42

---

Material: LaPrDy2In4
Method: DFT, PBE
State: relaxed

Summary:
- ΔH_f (0 K) (meV per atom) = -482

Cell lengths 5.4362, 5.4362, 9.4355 Å; angles 73.26, 73.26, 60.00 degrees
Closest atoms and distances in Å follow each position.
Positions (direct):
Dy (0.2500, 0.2500, 0.2499)  8 In 3.32-3.35
Dy (0.7500, 0.7500, 0.7501)  8 In 3.32-3.35
Pr (0.5000, 0.5000, 0.5000)  8 In 3.32
In (0.8744, 0.8744, 0.3768)  4 Dy 3.32-3.34, 3 Pr 3.32, 1 La 3.35
In (0.1256, 0.1256, 0.6232)  4 Dy 3.32-3.34, 3 Pr 3.32, 1 La 3.35
In (0.3756, 0.3756, 0.8733)  1 Pr 3.32, 4 Dy 3.32-3.35, 3 La 3.33
In (0.6244, 0.6244, 0.1267)  1 Pr 3.32, 4 Dy 3.32-3.35, 3 La 3.33
La (0.0000, 0.0000, 0.0000)  8 In 3.33-3.35

---

Material: LaPrDyIn
Method: DFT, PBE
State: relaxed

Summary:
- E above lowest polymorph (eV per formula unit) = 0.000
- ΔH_f (0 K) (meV per atom) = -162

Cell lengths 5.6234, 5.6234, 5.6234 Å; angles 60.00, 60.00, 60.00 degrees
Closest atoms and distances in Å follow each position.
Positions (direct):
Pr (0.0000, 0.0000, 0.0000)  4 Dy 3.44, 4 In 3.44
Dy (0.7500, 0.7500, 0.7500)  4 Pr 3.44, 4 La 3.44
La (0.5000, 0.5000, 0.5000)  4 In 3.44, 4 Dy 3.44
In (0.2500, 0.2500, 0.2500)  4 Pr 3.44, 4 La 3.44

---

Material: LaDyInPt
Method: DFT, PBE
State: relaxed

Summary:
- ΔH_f (0 K) (meV per atom) = -684

Cell lengths 5.2682, 5.2682, 5.2682 Å; angles 60.00, 60.00, 60.00 degrees
Closest atoms and distances in Å follow each position.
Positions (direct):
In (0.7500, 0.7500, 0.7500)  4 La 3.23, 4 Dy 3.23
La (0.0000, 0.0000, 0.0000)  4 In 3.23, 4 Pt 3.23
Pt (0.2500, 0.2500, 0.2500)  4 Dy 3.23, 4 La 3.23
Dy (0.5000, 0.5000, 0.5000)  4 Pt 3.23, 4 In 3.23

---

Material: LaDyInRh
Method: DFT, PBE
State: relaxed

Summary:
- ΔH_f (0 K) (meV per atom) = -479

Cell lengths 5.2301, 5.2301, 5.2301 Å; angles 60.00, 60.00, 60.00 degrees
Closest atoms and distances in Å follow each position.
Positions (direct):
Dy (0.7500, 0.7500, 0.7500)  4 In 3.20, 4 Rh 3.20
La (0.2500, 0.2500, 0.2500)  4 Rh 3.20, 4 In 3.20
Rh (0.5000, 0.5000, 0.5000)  4 Dy 3.20, 4 La 3.20
In (0.0000, 0.0000, 0.0000)  4 La 3.20, 4 Dy 3.20

---

Material: LaDyIn2S4
Method: DFT, PBE
State: relaxed

Summary:
- energy relative to the elements, uncorrected (eV per atom) = -1.409

Cell lengths 4.1226, 7.8332, 7.1552 Å; angles 72.37, 90.00, 90.00 degrees
Closest atoms and distances in Å follow each position.
Positions (direct):
S (0.0000, 0.2937, 0.2478)  1 Dy 2.76, 2 La 2.88
S (0.5000, 0.2978, 0.7227)  2 Dy 2.79, 1 La 2.89
S (0.5000, 0.7022, 0.2773)  2 Dy 2.79, 1 La 2.89
S (0.0000, 0.7063, 0.7522)  1 Dy 2.76, 2 La 2.88
La (0.5000, 0.5000, 0.0000)  6 S 2.88-2.89
In (0.5000, 0.0000, 0.5000)  6 S 3.20-3.21
In (0.0000, 0.0000, 0.0000)  6 S 3.29-3.30
Dy (0.0000, 0.5000, 0.5000)  6 S 2.76-2.79

---

Material: La2DySc2In5
Method: DFT, PBE
State: relaxed

Summary:
- ΔH_f (0 K) (meV per atom) = -403

Cell lengths 4.6512, 10.7470, 10.7470 Å; angles 90.00, 90.00, 90.00 degrees
Closest atoms and distances in Å follow each position.
Positions (direct):
Sc (0.0000, 0.8808, 0.3808)  6 In 2.95-3.08, 3 La 3.06-3.27
Sc (0.0000, 0.6192, 0.8808)  6 In 2.95-3.08, 3 La 3.06-3.27
Sc (0.0000, 0.3808, 0.1192)  6 In 2.95-3.08, 3 La 3.06-3.27
Sc (0.0000, 0.1192, 0.6192)  6 In 2.95-3.08, 3 La 3.06-3.27
In (0.5000, 0.7977, 0.9385)  2 Sc 3.08, 3 In 3.21-3.27, 2 Dy 3.25
In (0.5000, 0.5615, 0.7023)  2 Sc 3.08, 3 In 3.21-3.27, 2 Dy 3.25
In (0.5000, 0.0615, 0.7977)  2 Sc 3.08, 3 In 3.21-3.27, 2 Dy 3.25
In (0.5000, 0.0000, 0.5000)  4 Sc 2.95, 4 In 3.27
In (0.5000, 0.4385, 0.2977)  2 Sc 3.08, 3 In 3.21-3.27, 2 Dy 3.25
In (0.5000, 0.9385, 0.2023)  2 Sc 3.08, 3 In 3.21-3.27, 2 Dy 3.25
In (0.5000, 0.2977, 0.5615)  2 Sc 3.08, 3 In 3.21-3.27, 2 Dy 3.25
In (0.5000, 0.5000, 0.0000)  4 Sc 2.95, 4 In 3.27
In (0.5000, 0.7023, 0.4385)  2 Sc 3.08, 3 In 3.21-3.27, 2 Dy 3.25
In (0.5000, 0.2023, 0.0615)  2 Sc 3.08, 3 In 3.21-3.27, 2 Dy 3.25
La (0.0000, 0.8208, 0.6792)  3 Sc 3.06-3.27
La (0.0000, 0.6792, 0.1792)  3 Sc 3.06-3.27
La (0.0000, 0.3208, 0.8208)  3 Sc 3.06-3.27
La (0.0000, 0.1792, 0.3208)  3 Sc 3.06-3.27
Dy (0.0000, 0.5000, 0.5000)  8 In 3.25
Dy (0.0000, 0.0000, 0.0000)  8 In 3.25

---

Material: LaDyScIn
Method: DFT, PBE
State: relaxed

Summary:
- ΔH_f (0 K) (meV per atom) = -92

Cell lengths 5.3823, 5.3823, 5.3823 Å; angles 60.00, 60.00, 60.00 degrees
Closest atoms and distances in Å follow each position.
Positions (direct):
In (0.7500, 0.7500, 0.7500)  4 Dy 3.30, 4 Sc 3.30
Sc (0.0000, 0.0000, 0.0000)  4 In 3.30, 4 La 3.30
Dy (0.5000, 0.5000, 0.5000)  4 La 3.30, 4 In 3.30
La (0.2500, 0.2500, 0.2500)  4 Sc 3.30, 4 Dy 3.30

---

Material: LaDy2ScIn4
Method: DFT, PBE
State: relaxed

Summary:
- ΔH_f (0 K) (meV per atom) = -436

Cell lengths 5.3136, 5.3136, 9.2900 Å; angles 73.38, 73.38, 60.00 degrees
Closest atoms and distances in Å follow each position.
Positions (direct):
Dy (0.7513, 0.7513, 0.7460)  8 In 3.16-3.44
Dy (0.2487, 0.2487, 0.2540)  8 In 3.16-3.44
In (0.8714, 0.8714, 0.3857)  4 Dy 3.16-3.28, 3 Sc 3.23, 1 La 3.38
In (0.1286, 0.1286, 0.6143)  4 Dy 3.16-3.28, 3 Sc 3.23, 1 La 3.38
In (0.3794, 0.3794, 0.8617)  1 Sc 3.17, 4 Dy 3.23-3.44, 3 La 3.30
In (0.6206, 0.6206, 0.1383)  1 Sc 3.17, 4 Dy 3.23-3.44, 3 La 3.30
Sc (0.5000, 0.5000, 0.5000)  8 In 3.17-3.23
La (0.0000, 0.0000, 0.0000)  8 In 3.30-3.38

---

Material: La2DyInSe5
Method: DFT, PBE
State: relaxed

Summary:
- energy relative to the elements, uncorrected (eV per atom) = -1.557

Cell lengths 4.1663, 9.2492, 12.9539 Å; angles 90.00, 90.00, 103.02 degrees
Closest atoms and distances in Å follow each position.
Positions (direct):
La (0.1278, 0.2556, 0.6835)  8 Se 3.05-3.31
La (0.1233, 0.2465, 0.2999)  8 Se 3.06-3.34
La (0.8767, 0.7535, 0.7999)  8 Se 3.06-3.34
La (0.8722, 0.7444, 0.1835)  8 Se 3.05-3.31
Dy (0.8027, 0.6055, 0.4979)  5 Se 2.84-3.02
Dy (0.1973, 0.3945, 0.9979)  5 Se 2.84-3.02
Se (0.9702, 0.9405, 0.5967)  2 In 2.68
Se (0.2983, 0.5967, 0.6553)  2 Dy 2.92, 3 La 3.10-3.14
Se (0.5058, 0.0117, 0.7868)  1 In 2.66
Se (0.7082, 0.4164, 0.8294)  2 Dy 3.02, 3 La 3.06-3.16, 1 In 3.21
Se (0.7017, 0.4033, 0.1553)  2 Dy 2.92, 3 La 3.10-3.14
Se (0.0298, 0.0595, 0.0967)  2 In 2.68
Se (0.6452, 0.2904, 0.4990)  1 Dy 2.84
Se (0.4942, 0.9883, 0.2868)  1 In 2.66
Se (0.2918, 0.5836, 0.3294)  2 Dy 3.02, 3 La 3.06-3.16, 1 In 3.21
Se (0.3548, 0.7096, 0.9990)  1 Dy 2.84
In (0.4354, 0.8709, 0.4755)  3 Se 2.66-2.68
In (0.5646, 0.1291, 0.9755)  3 Se 2.66-2.68

---

Material: LaSmDyIn
Method: DFT, PBE
State: relaxed

Summary:
- E above lowest polymorph (eV per formula unit) = 0.000
- ΔH_f (0 K) (meV per atom) = -159

Cell lengths 5.5858, 5.5858, 5.5858 Å; angles 60.00, 60.00, 60.00 degrees
Closest atoms and distances in Å follow each position.
Positions (direct):
La (0.0000, 0.0000, 0.0000)  4 In 3.42, 4 Dy 3.42
Dy (0.7500, 0.7500, 0.7500)  4 La 3.42, 4 Sm 3.42
Sm (0.5000, 0.5000, 0.5000)  4 In 3.42, 4 Dy 3.42
In (0.2500, 0.2500, 0.2500)  4 La 3.42, 4 Sm 3.42

---

Number 1: calculated density 7.6 g cm⁻³, final energy -4.37 eV per atom, calculated volume 30.62 Å³/atom. Number 2: calculated density 7.4 g cm⁻³, final energy -4.24 eV per atom, calculated volume 29.25 Å³/atom. Number 3: calculated density 7.8 g cm⁻³, final energy -4.21 eV per atom, calculated volume 28.47 Å³/atom. Number 4: calculated density 7.4 g cm⁻³, final energy -4.42 eV per atom, calculated volume 31.44 Å³/atom. Number 5: calculated density 9.8 g cm⁻³, final energy -5.26 eV per atom, calculated volume 25.85 Å³/atom. Number 6: calculated density 8.5 g cm⁻³, final energy -5.38 eV per atom, calculated volume 25.29 Å³/atom. Number 7: calculated density 5.0 g cm⁻³, final energy -5.35 eV per atom, calculated volume 27.53 Å³/atom. Number 8: calculated density 6.8 g cm⁻³, final energy -4.48 eV per atom, calculated volume 26.86 Å³/atom. Number 9: calculated density 6.9 g cm⁻³, final energy -4.74 eV per atom, calculated volume 27.56 Å³/atom. Number 10: calculated density 7.5 g cm⁻³, final energy -4.36 eV per atom, calculated volume 26.80 Å³/atom. Number 11: calculated density 6.5 g cm⁻³, final energy -5.40 eV per atom, calculated volume 27.02 Å³/atom. Number 12: calculated density 7.6 g cm⁻³, final energy -4.41 eV per atom, calculated volume 30.81 Å³/atom.